YCu2Se | Alexandria | GGA-PBE | optimized geometry; crystal system = tetragonal; energy relative to the elements, uncorrected = -319 meV/atom; raw total energy = -4.8543 eV per atom; density of states at the Fermi level = 3.60 states/eV/f.u.
1.0
-7.152 -0.001 -2.445
2.423 -1.026 -7.086
-2.484 -3.221 -4.414
Y Cu Se
2 4 2
direct
0.000 0.000 0.000 Y
0.750 0.250 0.500 Y
0.579 0.125 0.250 Cu
0.171 0.625 0.250 Cu
0.375 0.421 0.750 Cu
0.875 0.829 0.750 Cu
0.500 0.500 0.000 Se
0.250 0.750 0.500 Se